No. 1
# GGA-PBE CrFe3Rh12, relaxed
data_CrFe3Rh12
_cell_length_a 3.803
_cell_length_b 3.803
_cell_length_c 15.203
_cell_angle_alpha 90.00
_cell_angle_beta 90.00
_cell_angle_gamma 90.00
_symmetry_space_group_name_H-M 'P 4/m m m'
_symmetry_Int_Tables_number 123
_symmetry_space_group_name_Hall '-P 4 2'
loop_
_atom_site_label
_atom_site_type_symbol
_atom_site_fract_x
_atom_site_fract_y
_atom_site_fract_z
Cr1 Cr 0.000 0.000 0.000
Fe1 Fe 0.000 0.000 0.250
Fe2 Fe 0.000 0.000 0.500
Rh1 Rh 0.000 0.500 0.123
Rh2 Rh 0.000 0.500 0.374
Rh3 Rh 0.500 0.500 0.000
Rh4 Rh 0.500 0.500 0.249
Rh5 Rh 0.500 0.500 0.500
# DOS(E_F) in states/eV/f.u.: 16.62
# Mass density in kg/m³: 10981
# Calculated formation energy in meV per atom: -70
# Total moment in μB/f.u.: 11.9

No. 2
# GGA-PBE PWN3, relaxed
data_PWN3
_cell_length_a 3.492
_cell_length_b 3.492
_cell_length_c 3.492
_cell_angle_alpha 90.00
_cell_angle_beta 90.00
_cell_angle_gamma 90.00
_symmetry_space_group_name_H-M 'P m -3 m'
_symmetry_Int_Tables_number 221
_symmetry_space_group_name_Hall '-P 4 2 3'
loop_
_atom_site_label
_atom_site_type_symbol
_atom_site_fract_x
_atom_site_fract_y
_atom_site_fract_z
P1 P 0.000 0.000 0.000
W1 W 0.500 0.500 0.500
N1 N 0.000 0.000 0.500
# DOS(E_F) in states/eV/f.u.: 2.78
# Mass density in kg/m³: 10013
# Total moment in μB/f.u.: 0.0

Number 1: electronic total energy -124.347 eV/cell. Number 2: electronic total energy -38.567 eV/cell.